Entry from the Open Quantum Materials Database: an optimized crystal structure of PrAlIn2 (GGA-PBE).

Unit cell a=4.935 b=11.707 c=6.845 alpha=90.00 beta=90.00 gamma=90.00
Space group Ama2 (No. 40)
One atom of each set of equivalent atoms:
Pr: 0.250 0.162 0.000
Al: 0.250 0.432 0.227
In: 0.250 0.153 0.516
In: 0.250 0.421 0.779

Values from the calculation:
energy	-62.22	eV for the cell shown
volume	24.72	A^3/atom
mass density	6.7	g/cm³